1.
This record from Alexandria via LeMat-Bulk describes a geometry-optimized Sm2TmHg4 structure. The functional is PBE.

a = 5.1066 Å, b = 5.1066 Å, c = 26.6026 Å
α = 90.00°, β = 90.00°, γ = 120.00°
Space group R-3m (No. 166, hexagonal axes)
Unique sites:
Sm (0.0000, 0.0000, 0.2445) [6 per cell]
Tm (0.0000, 0.0000, 0.0000) [3 per cell]
Hg (0.0000, 0.0000, 0.1269) [6 per cell]
Hg (0.0000, 0.0000, 0.3709) [6 per cell]

Energy relative to the elements, kcal/mol of atoms: -7.97
Energy above the lowest structure with this stoichiometry, meV per atom: 0

2.
This record from Alexandria via LeMat-Bulk describes a geometry-optimized Sm3Tm2Hg3 structure. The functional is PBE.

a = 3.731 Å, b = 5.398 Å, c = 22.256 Å
α = 90.00°, β = 90.00°, γ = 90.00°
Space group Immm (No. 71)
Unique sites:
Sm (0.000, 0.000, 0.000) [2 per cell]
Sm (0.000, 0.500, 0.123) [4 per cell]
Tm (0.000, 0.000, 0.234) [4 per cell]
Hg (0.000, 0.000, 0.500) [2 per cell]
Hg (0.000, 0.500, 0.377) [4 per cell]

Energy relative to the elements, kcal/mol of atoms: -8.14